The following is a DFT calculation (GGA-PBEsol) of crystalline Ta2AgHg at its relaxed geometry.

Values from the calculation:
ΔH_f (0 K) ... 0.2957 eV per atom
D(E_F) ... 0.767 states/eV per atom
Space-group type ... P2/m
Size of the total moment ... 0.0 Bohr magnetons per cell
Electronic total energy ... -27.80 eV/cell

abc: 4.939 2.906 5.221
angles: 90.00 108.13 90.00
Fractional coordinates of all 4 atoms:
Ta  0.000  0.000  0.000
Ta  0.500  0.500  0.000
Ag  0.000  0.500  0.500
Hg  0.500  0.000  0.500



The following is a DFT calculation (GGA-PBEsol) of crystalline TlSb2Au2 at its relaxed geometry.

Values from the calculation:
D(E_F) ... 0.496 states/eV per atom
Space-group type ... I4/mmm
Size of the total moment ... 0.0 Bohr magnetons per cell
Formation energy without anion corrections ... 40 meV per atom
Electronic total energy ... -19.39 eV/cell

abc: 6.345 6.345 6.345
angles: 134.72 134.72 65.97
Fractional coordinates of all 5 atoms:
Tl  0.000  0.000  0.000
Sb  0.250  0.750  0.500
Sb  0.750  0.250  0.500
Au  0.373  0.373  0.000
Au  0.627  0.627  0.000



The following is a DFT calculation (GGA-PBEsol) of crystalline NiAg2Ru at its relaxed geometry.

Values from the calculation:
ΔH_f (0 K) ... 0.5564 eV per atom
D(E_F) ... 0.734 states/eV per atom
Space-group type ... F-43m
Relative energy among the computed polymorphs ... 106.5 meV/atom
Size of the total moment ... 2.2 Bohr magnetons per cell
Electronic total energy ... -20.73 eV/cell

abc: 4.342 4.342 4.342
angles: 60.00 60.00 60.00
Fractional coordinates of all 4 atoms:
Ni  0.000  0.000  0.000
Ag  0.250  0.250  0.250
Ag  0.500  0.500  0.500
Ru  0.750  0.750  0.750



The following is a DFT calculation (GGA-PBEsol) of crystalline Ho2TeO6 at its relaxed geometry.

Values from the calculation:
D(E_F) ... 0.000 states/eV per atom
Space-group type ... P321
Relative energy among the computed polymorphs ... 15.6 meV/atom
Size of the total moment ... 0.0 Bohr magnetons per cell
Formation energy without anion corrections ... -2608 meV per atom
Electronic total energy ... -205.18 eV/cell

abc: 8.988 8.988 5.153
angles: 90.00 90.00 120.00
Fractional coordinates of all 27 atoms:
Ho  0.000  0.280  0.000
Ho  0.000  0.617  0.500
Ho  0.280  0.000  0.000
Ho  0.383  0.383  0.500
Ho  0.617  0.000  0.500
Ho  0.720  0.720  0.000
Te  0.000  0.000  0.500
Te  0.333  0.667  0.994
Te  0.667  0.333  0.006
O  0.075  0.874  0.286
O  0.126  0.201  0.286
O  0.131  0.543  0.209
O  0.201  0.126  0.714
O  0.228  0.765  0.777
O  0.235  0.463  0.777
O  0.412  0.869  0.209
O  0.457  0.588  0.209
O  0.463  0.235  0.223
O  0.537  0.772  0.777
O  0.543  0.131  0.791
O  0.588  0.457  0.791
O  0.765  0.228  0.223
O  0.772  0.537  0.223
O  0.799  0.925  0.286
O  0.869  0.412  0.791
O  0.874  0.075  0.714
O  0.925  0.799  0.714